Here is Ca4W6O19 after structural relaxation from the Alexandria database. Energies are from PBE+U.

The structure in CIF format:
```
data_Ca4W6O19
_cell_length_a 9.3031
_cell_length_b 9.3031
_cell_length_c 9.3031
_cell_angle_alpha 90.00
_cell_angle_beta 90.00
_cell_angle_gamma 90.00
_symmetry_space_group_name_H-M 'I 2 3'
_symmetry_Int_Tables_number 197
_symmetry_space_group_name_Hall 'I 2 2 3'
loop_
_atom_site_label
_atom_site_type_symbol
_atom_site_fract_x
_atom_site_fract_y
_atom_site_fract_z
_atom_site_occupancy
Ca1 Ca 0.1382 0.1382 0.1382 1
W1 W 0.0000 0.1404 0.5000 1
O1 O 0.0000 0.0000 0.0000 1
O2 O 0.0000 0.0000 0.3304 1
O3 O 0.0119 0.2930 0.3444 1
```

Computed properties:
energy = -7.28 eV per atom